{"formula": "Ta2Hg", "functional": "GGA-PBE", "state": "optimized geometry", "cell": [[-0.043, 4.830, -0.162], [-3.726, -2.511, -1.781], [-1.274, 0.075, 2.560]], "species": ["Ta", "Hg", "Ta"], "frac_coords": [[0.333, 0.667, 0.500], [0.000, 0.000, 0.000], [0.667, 0.333, 0.500]], "volume_a3_per_atom": 19.29, "density_g_cm3": 16.143, "e_tot_ha_per_atom": -0.274, "space_group": "P6/mmm", "delta_e_f_ev_per_fu": 1.608}